First-principles (PBE+U) data for a relaxed structure of CrP2O6, as listed in Alexandria.

CIF file:
```
data_CrP2O6
_chemical_formula_sum 'Cr2 P4 O12'
_space_group_name_H-M_alt 'P 1'
_space_group_IT_number 1
_cell_length_a 5.0174
_cell_length_b 6.9165
_cell_length_c 6.9165
_cell_angle_alpha 84.43
_cell_angle_beta 76.08
_cell_angle_gamma 76.08
loop_
_space_group_symop_operation_xyz
'x,y,z'
loop_
_atom_site_label
_atom_site_type_symbol
_atom_site_fract_x
_atom_site_fract_y
_atom_site_fract_z
Cr1 Cr 0.2500 0.8850 0.1150
Cr2 Cr 0.7500 0.1150 0.8850
P1 P 0.2390 0.3749 0.1956
P2 P 0.7390 0.1956 0.3749
P3 P 0.2610 0.8044 0.6251
P4 P 0.7610 0.6251 0.8044
O1 O 0.3420 0.2058 0.0506
O2 O 0.8420 0.0506 0.2058
O3 O 0.1580 0.9494 0.7942
O4 O 0.6580 0.7942 0.9494
O5 O 0.1879 0.5848 0.1165
O6 O 0.6879 0.1165 0.5848
O7 O 0.3121 0.8835 0.4152
O8 O 0.8121 0.4152 0.8835
O9 O 0.4569 0.3494 0.3398
O10 O 0.9569 0.3398 0.3494
O11 O 0.0431 0.6602 0.6506
O12 O 0.5431 0.6506 0.6602
```

Computed properties:
DOS at the Fermi energy ... 0.000 states/eV per cell
Symmetry ... C2/c (15)
Uncorrected energy ... -7.4056 eV per atom


First-principles (PBE+U) data for a relaxed structure of CrPO2, as listed in Alexandria.

CIF file:
```
data_CrPO2
_chemical_formula_sum 'Cr1 P1 O2'
_space_group_name_H-M_alt 'P 1'
_space_group_IT_number 1
_cell_length_a 6.2783
_cell_length_b 6.2783
_cell_length_c 6.2783
_cell_angle_alpha 27.17
_cell_angle_beta 27.17
_cell_angle_gamma 27.17
loop_
_space_group_symop_operation_xyz
'x,y,z'
loop_
_atom_site_label
_atom_site_type_symbol
_atom_site_fract_x
_atom_site_fract_y
_atom_site_fract_z
Cr1 Cr 0.5000 0.5000 0.5000
O1 O 0.8912 0.8912 0.8912
O2 O 0.1088 0.1088 0.1088
P1 P 0.0000 0.0000 0.0000
```

Computed properties:
DOS at the Fermi energy ... 0.614 states/eV per cell
Symmetry ... R-3m (166)
Uncorrected energy ... -6.9225 eV per atom


First-principles (PBE+U) data for a relaxed structure of CrP3O, as listed in Alexandria.

CIF file:
```
data_CrP3O
_chemical_formula_sum 'Cr1 P3 O1'
_space_group_name_H-M_alt 'P 1'
_space_group_IT_number 1
_cell_length_a 4.2920
_cell_length_b 4.2920
_cell_length_c 4.2920
_cell_angle_alpha 90.00
_cell_angle_beta 90.00
_cell_angle_gamma 90.00
loop_
_space_group_symop_operation_xyz
'x,y,z'
loop_
_atom_site_label
_atom_site_type_symbol
_atom_site_fract_x
_atom_site_fract_y
_atom_site_fract_z
Cr1 Cr 0.0000 0.0000 0.0000
O1 O 0.5000 0.5000 0.5000
P1 P 0.0000 0.5000 0.0000
P2 P 0.0000 0.0000 0.5000
P3 P 0.5000 0.0000 0.0000
```

Computed properties:
DOS at the Fermi energy ... 2.506 states/eV per cell
Symmetry ... Pm-3m (221)
Uncorrected energy ... -4.6634 eV per atom


First-principles (PBE+U) data for a relaxed structure of CrPO2, as listed in Alexandria.

CIF file:
```
data_CrPO2
_chemical_formula_sum 'Cr2 P2 O4'
_space_group_name_H-M_alt 'P 1'
_space_group_IT_number 1
_cell_length_a 4.2662
_cell_length_b 4.2662
_cell_length_c 6.4106
_cell_angle_alpha 70.56
_cell_angle_beta 70.56
_cell_angle_gamma 90.00
loop_
_space_group_symop_operation_xyz
'x,y,z'
loop_
_atom_site_label
_atom_site_type_symbol
_atom_site_fract_x
_atom_site_fract_y
_atom_site_fract_z
Cr1 Cr 0.0000 0.0000 0.0000
Cr2 Cr 0.7500 0.2500 0.5000
O1 O 0.5886 0.1250 0.2500
O2 O 0.1614 0.6250 0.2500
O3 O 0.3750 0.4114 0.7500
O4 O 0.8750 0.8386 0.7500
P1 P 0.5000 0.5000 0.0000
P2 P 0.2500 0.7500 0.5000
```

Computed properties:
DOS at the Fermi energy ... 12.281 states/eV per cell
Symmetry ... I-42d (122)
Uncorrected energy ... -6.1875 eV per atom


First-principles (PBE+U) data for a relaxed structure of Cr2P3O10, as listed in Alexandria.

CIF file:
```
data_Cr2P3O10
_chemical_formula_sum 'Cr4 P6 O20'
_space_group_name_H-M_alt 'P 1'
_space_group_IT_number 1
_cell_length_a 8.5668
_cell_length_b 4.7185
_cell_length_c 9.0589
_cell_angle_alpha 80.96
_cell_angle_beta 90.00
_cell_angle_gamma 90.00
loop_
_space_group_symop_operation_xyz
'x,y,z'
loop_
_atom_site_label
_atom_site_type_symbol
_atom_site_fract_x
_atom_site_fract_y
_atom_site_fract_z
Cr1 Cr 0.5673 0.9450 0.3264
Cr2 Cr 0.9327 0.9450 0.3264
Cr3 Cr 0.4327 0.0550 0.6736
Cr4 Cr 0.0673 0.0550 0.6736
P1 P 0.7500 0.5197 0.1439
P2 P 0.7500 0.3978 0.5373
P3 P 0.2500 0.4803 0.8561
P4 P 0.2500 0.3250 0.1861
P5 P 0.2500 0.6022 0.4627
P6 P 0.7500 0.6750 0.8139
O1 O 0.0993 0.7666 0.4890
O2 O 0.6009 0.8411 0.7920
O3 O 0.1009 0.1589 0.2080
O4 O 0.7500 0.2006 0.2265
O5 O 0.7500 0.4720 0.9704
O6 O 0.9007 0.2334 0.5110
O7 O 0.8991 0.8411 0.7920
O8 O 0.2500 0.7994 0.7735
O9 O 0.2500 0.5741 0.2901
O10 O 0.3991 0.1589 0.2080
O11 O 0.0990 0.3303 0.8262
O12 O 0.5993 0.2334 0.5110
O13 O 0.9010 0.6697 0.1738
O14 O 0.4010 0.3303 0.8262
O15 O 0.7500 0.7066 0.4461
O16 O 0.2500 0.5280 0.0296
O17 O 0.4007 0.7666 0.4890
O18 O 0.7500 0.4259 0.7099
O19 O 0.2500 0.2934 0.5539
O20 O 0.5990 0.6697 0.1738
```

Computed properties:
DOS at the Fermi energy ... 7.163 states/eV per cell
Symmetry ... P2_1/m (11)
Uncorrected energy ... -7.4573 eV per atom


First-principles (PBE+U) data for a relaxed structure of CrP2O2, as listed in Alexandria.

CIF file:
```
data_CrP2O2
_chemical_formula_sum 'Cr1 P2 O2'
_space_group_name_H-M_alt 'P 1'
_space_group_IT_number 1
_cell_length_a 3.4844
_cell_length_b 3.4844
_cell_length_c 4.9983
_cell_angle_alpha 90.00
_cell_angle_beta 90.00
_cell_angle_gamma 90.00
loop_
_space_group_symop_operation_xyz
'x,y,z'
loop_
_atom_site_label
_atom_site_type_symbol
_atom_site_fract_x
_atom_site_fract_y
_atom_site_fract_z
Cr1 Cr 0.5000 0.5000 0.5000
O1 O 0.0000 0.5000 0.0000
O2 O 0.5000 0.0000 0.0000
P1 P 0.0000 0.0000 0.0000
P2 P 0.0000 0.0000 0.5000
```

Computed properties:
DOS at the Fermi energy ... 1.878 states/eV per cell
Symmetry ... P4/mmm (123)
Uncorrected energy ... -6.1022 eV per atom